1.
# TmHfTaN3

An optimized crystal structure of TmHfTaN3 (PBE, the Alexandria database).

It has space group P2_1/m (No. 11), with a = 5.5796 Å, b = 3.2098 Å, c = 8.3324 Å, α = 90.00°, β = 102.88° and γ = 90.00°. Symmetry generates all atoms from Tm at (0.1484, 0.2500, 0.1893), Hf at (0.2672, 0.7500, 0.5485), Ta at (0.3746, 0.2500, 0.8657), N at (0.0560, 0.2500, 0.6617), N at (0.2360, 0.7500, 0.9949) and N at (0.4576, 0.7500, 0.3442).

The energy relative to the elements, uncorrected is -1.5688 eV/atom. The spin magnetization is 0.00 Bohr magnetons per cell.

***

2.
# Tm3Hf3TaN8

An optimized crystal structure of Tm3Hf3TaN8 (PBE, the Alexandria database).

It has space group R-3m (No. 166, hexagonal axes), with a = 6.4536 Å, b = 6.4536 Å, c = 16.2998 Å, α = 90.00°, β = 90.00° and γ = 120.00°. Symmetry generates all atoms from Tm at (0.0000, 0.5000, 0.0000), Hf at (0.0000, 0.5000, 0.5000), Ta at (0.0000, 0.0000, 0.5000), N at (0.0000, 0.0000, 0.2444) and N at (0.0153, 0.5076, 0.2394).

The energy relative to the elements, uncorrected is -1.6812 eV/atom. The spin magnetization is 0.00 Bohr magnetons per cell.

***

3.
# HfUTaN3

An optimized crystal structure of HfUTaN3 (PBE, the Alexandria database).

It has space group P2_1/m (No. 11), with a = 6.8540 Å, b = 3.1086 Å, c = 8.0347 Å, α = 90.00°, β = 91.35° and γ = 90.00°. Symmetry generates all atoms from Hf at (0.1223, 0.2500, 0.1414), U at (0.3652, 0.7500, 0.8301), Ta at (0.3398, 0.7500, 0.4192), N at (0.1102, 0.2500, 0.8732), N at (0.3501, 0.2500, 0.6007) and N at (0.3560, 0.7500, 0.1375).

The energy relative to the elements, uncorrected is -1.1930 eV/atom. The spin magnetization is 2.13 Bohr magnetons per cell.